Crystalline PuU2As4 at its relaxed geometry. Source: the Alexandria database, functional PBE.

Cell lengths 4.0764, 7.8943, 11.5845 Å; angles 90.00, 90.00, 104.96 degrees
Site moments in Bohr magnetons follow the coordinates.
Fractional coordinates of all 14 atoms:
Pu  0.5391  0.0782  0.7500  5.10
Pu  0.4609  0.9218  0.2500  5.10
U  0.1309  0.2619  0.4863  1.48
U  0.8691  0.7381  0.9863  1.48
U  0.1309  0.2619  0.0137  1.48
U  0.8691  0.7381  0.5137  1.48
As  0.7084  0.4167  0.8767  -0.10
As  0.7084  0.4167  0.6233  -0.10
As  0.2916  0.5833  0.1233  -0.10
As  0.2916  0.5833  0.3767  -0.10
As  0.9038  0.8075  0.7500  -0.12
As  0.0962  0.1925  0.2500  -0.12
As  0.5000  0.0000  0.0000  -0.10
As  0.5000  0.0000  0.5000  -0.10

Results
Size of the total moment ... 8.1 μB/f.u.
VASP energy ... -8.400 eV/atom

Crystalline Pu4UAs5 at its relaxed geometry. Source: the Alexandria database, functional PBE.

Cell lengths 4.1031, 5.8354, 10.9612 Å; angles 105.44, 100.79, 90.00 degrees
Site moments in Bohr magnetons follow the coordinates.
Fractional coordinates of all 10 atoms:
Pu  0.4004  0.4004  0.8008  5.06
Pu  0.7998  0.7998  0.5997  -5.08
Pu  0.2002  0.2002  0.4003  -5.08
Pu  0.5996  0.5996  0.1992  5.06
U  0.0000  0.0000  0.0000  2.02
As  0.5977  0.0977  0.1955  -0.03
As  0.7997  0.2997  0.5994  0.04
As  0.2003  0.7003  0.4006  0.04
As  0.0000  0.5000  0.0000  -0.11
As  0.4023  0.9023  0.8045  -0.03

Results
Size of the total moment ... 2.0 μB/f.u.
VASP energy ... -10.124 eV/atom

Crystalline Pu3UAs4 at its relaxed geometry. Source: the Alexandria database, functional PBE.

Cell lengths 5.8402, 5.8402, 5.8402 Å; angles 90.00, 90.00, 90.00 degrees
Site moments in Bohr magnetons follow the coordinates.
Fractional coordinates of all 8 atoms:
As  0.5000  0.0000  0.0000  -0.12
As  0.0000  0.5000  0.0000  -0.12
As  0.0000  0.0000  0.5000  -0.12
As  0.5000  0.5000  0.5000  -0.15
U  0.0000  0.0000  0.0000  2.24
Pu  0.0000  0.5000  0.5000  5.06
Pu  0.5000  0.0000  0.5000  5.06
Pu  0.5000  0.5000  0.0000  5.06

Results
Size of the total moment ... 17.8 μB/f.u.
VASP energy ... -10.062 eV/atom

Crystalline PuUAs2 at its relaxed geometry. Source: the Alexandria database, functional PBE.

Cell lengths 4.0687, 4.0687, 7.2245 Å; angles 73.64, 73.64, 60.00 degrees
Site moments in Bohr magnetons follow the coordinates.
Fractional coordinates of all 4 atoms:
As  0.7514  0.7514  0.7459  -0.01
As  0.2486  0.2486  0.2541  -0.01
U  0.5000  0.5000  0.5000  -2.00
Pu  0.0000  0.0000  0.0000  5.14

Results
Size of the total moment ... 3.2 μB/f.u.
VASP energy ... -9.597 eV/atom

Crystalline YPu2UAs4 at its relaxed geometry. Source: the Alexandria database, functional PBE.

Cell lengths 4.1084, 7.1724, 7.1020 Å; angles 109.29, 90.00, 90.00 degrees
Site moments in Bohr magnetons follow the coordinates.
Fractional coordinates of all 8 atoms:
Y  0.0000  0.0000  0.0000  -0.03
Pu  0.5000  0.0000  0.5000  -5.13
Pu  0.0000  0.5000  0.5000  5.07
U  0.5000  0.5000  0.0000  1.97
As  0.5000  0.2542  0.2473  -0.05
As  0.5000  0.7458  0.7527  -0.05
As  0.0000  0.2536  0.7548  -0.01
As  0.0000  0.7464  0.2452  -0.01

Results
Size of the total moment ... 1.8 μB/f.u.
VASP energy ... -9.193 eV/atom

Crystalline YPu3U4As8 at its relaxed geometry. Source: the Alexandria database, functional PBE.

Cell lengths 8.1609, 8.2735, 8.1612 Å; angles 119.50, 120.00, 90.00 degrees
Site moments in Bohr magnetons follow the coordinates.
Fractional coordinates of all 16 atoms:
Y  0.0000  0.5000  0.0000  0.00
Pu  0.5000  0.5000  0.0000  -5.13
Pu  0.5000  0.5000  0.5000  5.12
Pu  0.0000  0.5000  0.5000  5.12
U  0.5000  0.0000  0.0000  2.17
U  0.5000  0.0000  0.5000  2.11
U  0.0000  0.0000  0.0000  2.16
U  0.0000  0.0000  0.5000  2.11
As  0.2508  0.7544  0.0028  -0.04
As  0.2514  0.7539  0.5027  -0.09
As  0.2481  0.2457  0.4962  -0.06
As  0.7520  0.7544  0.0028  -0.04
As  0.2480  0.2456  0.9972  -0.04
As  0.7519  0.7543  0.5038  -0.06
As  0.7486  0.2461  0.4973  -0.09
As  0.7492  0.2456  0.9972  -0.04

Results
Size of the total moment ... 14.4 μB/f.u.
VASP energy ... -9.178 eV/atom

Crystalline PuZr2UAs4 at its relaxed geometry. Source: the Alexandria database, functional PBE.

Cell lengths 3.9627, 6.8396, 6.9799 Å; angles 109.20, 90.00, 90.00 degrees
Site moments in Bohr magnetons follow the coordinates.
Fractional coordinates of all 8 atoms:
Pu  0.0000  0.0000  0.0000  -5.16
Zr  0.5000  0.0000  0.5000  -0.01
Zr  0.0000  0.5000  0.5000  -0.01
U  0.5000  0.5000  0.0000  -2.08
As  0.5000  0.2560  0.2630  0.05
As  0.5000  0.7440  0.7370  0.05
As  0.0000  0.2470  0.7366  0.04
As  0.0000  0.7530  0.2634  0.04

Results
Size of the total moment ... 7.5 μB/f.u.
VASP energy ... -8.712 eV/atom

Crystalline Pu2ZrUAs4 at its relaxed geometry. Source: the Alexandria database, functional PBE.

Cell lengths 4.0303, 7.0625, 6.9805 Å; angles 109.06, 90.00, 90.00 degrees
Site moments in Bohr magnetons follow the coordinates.
Fractional coordinates of all 8 atoms:
Pu  0.5000  0.0000  0.5000  5.12
Pu  0.0000  0.5000  0.5000  -5.15
Zr  0.0000  0.0000  0.0000  0.05
U  0.5000  0.5000  0.0000  -1.84
As  0.5000  0.2416  0.2376  0.04
As  0.5000  0.7584  0.7624  0.04
As  0.0000  0.2465  0.7596  0.01
As  0.0000  0.7535  0.2404  0.01

Results
Size of the total moment ... 1.8 μB/f.u.
VASP energy ... -9.383 eV/atom

Crystalline PuZrU2As5 at its relaxed geometry. Source: the Alexandria database, functional PBE.

Cell lengths 4.8228, 4.8228, 10.5468 Å; angles 90.00, 90.00, 90.00 degrees
Site moments in Bohr magnetons follow the coordinates.
Fractional coordinates of all 9 atoms:
Pu  0.0000  0.0000  0.0000  -5.17
Zr  0.0000  0.0000  0.5000  0.01
U  0.5000  0.5000  0.3090  2.53
U  0.5000  0.5000  0.6910  2.53
As  0.0000  0.5000  0.5000  -0.07
As  0.5000  0.0000  0.5000  -0.07
As  0.0000  0.0000  0.7480  -0.01
As  0.0000  0.0000  0.2520  -0.01
As  0.5000  0.5000  0.0000  0.03

Results
Size of the total moment ... 0.0 μB/f.u.
VASP energy ... -7.835 eV/atom

Crystalline PuVAs2 at its relaxed geometry. Source: the Alexandria database, functional PBE.

Cell lengths 3.5312, 5.2775, 16.3580 Å; angles 90.00, 90.00, 90.00 degrees
Site moments in Bohr magnetons follow the coordinates.
Fractional coordinates of all 16 atoms:
Pu  0.7500  0.3814  0.5295  0.69
Pu  0.2500  0.6186  0.4705  0.69
Pu  0.7500  0.8814  0.9705  0.69
Pu  0.2500  0.1186  0.0295  0.69
V  0.7500  0.7647  0.1851  1.33
V  0.7500  0.2647  0.3149  1.33
V  0.2500  0.2353  0.8149  1.33
V  0.2500  0.7353  0.6851  1.33
As  0.7500  0.8757  0.5908  -0.05
As  0.2500  0.1243  0.4092  -0.05
As  0.7500  0.3757  0.9092  -0.05
As  0.2500  0.6243  0.0908  -0.05
As  0.2500  0.2614  0.6669  -0.07
As  0.7500  0.2386  0.1669  -0.07
As  0.2500  0.7614  0.8331  -0.07
As  0.7500  0.7386  0.3331  -0.07

Results
Size of the total moment ... 2.1 μB/f.u.
VASP energy ... -8.374 eV/atom

Crystalline PuVAs2 at its relaxed geometry. Source: the Alexandria database, functional PBE.

Cell lengths 3.1931, 3.1931, 7.0549 Å; angles 90.00, 90.00, 90.00 degrees
Site moments in Bohr magnetons follow the coordinates.
Fractional coordinates of all 4 atoms:
As  0.0000  0.0000  0.7960  -0.03
As  0.0000  0.0000  0.2040  -0.03
V  0.5000  0.5000  0.0000  -0.13
Pu  0.5000  0.5000  0.5000  5.49

Results
Size of the total moment ... 5.5 μB/f.u.
VASP energy ... -8.642 eV/atom

Crystalline PuVAs2 at its relaxed geometry. Source: the Alexandria database, functional PBE.

Cell lengths 3.1406, 3.1406, 9.6725 Å; angles 80.66, 80.66, 60.00 degrees
Site moments in Bohr magnetons follow the coordinates.
Fractional coordinates of all 4 atoms:
As  0.1050  0.1050  0.6849  -0.02
As  0.8950  0.8950  0.3151  -0.02
V  0.5000  0.5000  0.5000  0.09
Pu  0.0000  0.0000  0.0000  5.52

Results
Size of the total moment ... 6.0 μB/f.u.
VASP energy ... -8.309 eV/atom

- VASP energy of number 1 (PuU2As4)?
  -8.400 eV/atom